Entry from Alexandria: an optimized crystal structure of NpSiAuO6 (GGA-PBE). Values from VASP.

Quantum ESPRESSO input file:
```
&SYSTEM
  ibrav = 0, nat = 9, ntyp = 4
/
ATOMIC_SPECIES
Np 237.00 Np.upf
Si 28.09 Si.upf
Au 196.97 Au.upf
O 16.00 O.upf
ATOMIC_POSITIONS crystal
Np 0.0000 0.0000 0.0000
Si 0.3376 0.6624 0.0000
Au 0.6928 0.3072 0.5000
O 0.1431 0.4386 0.1812
O 0.2287 0.2806 0.8179
O 0.3924 0.0070 0.1763
O 0.5614 0.8569 0.8188
O 0.7194 0.7713 0.1821
O 0.9930 0.6076 0.8237
CELL_PARAMETERS angstrom
2.5391 -4.6932 0.0000
2.5391 4.6932 0.0000
-2.0462 0.0000 5.6259
```

symmetry = No. 5
final energy = -68.33 eV per cell
E_form (uncorrected) = -1.88 eV per atom

***

Entry from Alexandria: an optimized crystal structure of NpSnAuO6 (GGA-PBE). Values from VASP.

Quantum ESPRESSO input file:
```
&SYSTEM
  ibrav = 0, nat = 18, ntyp = 4
/
ATOMIC_SPECIES
Np 237.00 Np.upf
Sn 118.71 Sn.upf
Au 196.97 Au.upf
O 16.00 O.upf
ATOMIC_POSITIONS crystal
Np 0.3333 0.6667 0.2500
Np 0.6667 0.3333 0.7500
Sn 0.3333 0.6667 0.7500
Sn 0.6667 0.3333 0.2500
Au 0.0000 0.0000 0.0000
Au 0.0000 0.0000 0.5000
O 0.0047 0.3642 0.1362
O 0.0047 0.6405 0.3638
O 0.3595 0.3642 0.3638
O 0.3595 0.9953 0.1362
O 0.3642 0.0047 0.6362
O 0.3642 0.3595 0.8638
O 0.6358 0.6405 0.1362
O 0.6358 0.9953 0.3638
O 0.6405 0.0047 0.8638
O 0.6405 0.6358 0.6362
O 0.9953 0.3595 0.6362
O 0.9953 0.6358 0.8638
CELL_PARAMETERS angstrom
5.5435 0.0000 0.0000
-2.7718 4.8008 0.0000
0.0000 0.0000 9.7416
```

symmetry = No. 163
final energy = -127.01 eV per cell
E_form (uncorrected) = -1.50 eV per atom

***

Entry from Alexandria: an optimized crystal structure of Np3Tl2AuO12 (GGA-PBE). Values from VASP.

Quantum ESPRESSO input file:
```
&SYSTEM
  ibrav = 0, nat = 18, ntyp = 4
/
ATOMIC_SPECIES
Np 237.00 Np.upf
Tl 204.38 Tl.upf
Au 196.97 Au.upf
O 16.00 O.upf
ATOMIC_POSITIONS crystal
Np 0.0000 0.5000 0.5000
Np 0.5000 0.0000 0.5000
Np 0.5000 0.5000 0.0000
Tl 0.1256 0.1256 0.1256
Tl 0.8744 0.8744 0.8744
Au 0.5000 0.5000 0.5000
O 0.1211 0.6014 0.6014
O 0.2001 0.2001 0.5826
O 0.2001 0.5826 0.2001
O 0.3986 0.3986 0.8789
O 0.3986 0.8789 0.3986
O 0.4174 0.7999 0.7999
O 0.5826 0.2001 0.2001
O 0.6014 0.1211 0.6014
O 0.6014 0.6014 0.1211
O 0.7999 0.4174 0.7999
O 0.7999 0.7999 0.4174
O 0.8789 0.3986 0.3986
CELL_PARAMETERS angstrom
4.0207 2.3214 5.8070
-4.0207 2.3214 5.8070
0.0000 -4.6428 5.8070
```

symmetry = No. 166
final energy = -141.54 eV per cell
E_form (uncorrected) = -1.96 eV per atom